Record 1
K2MgTe | PBE | optimized geometry

Unit cell a=5.2455 b=4.6549 c=7.3274 alpha=90.00 beta=110.90 gamma=90.00
With the nearest neighbours (Å) after each atom.
Sites, in units of the cell vectors:
1 K 0.0000 0.0000 0.0000  4 Te 3.65, 3 Mg 3.86-4.01
2 K 0.3055 0.5000 0.6094  2 Te 3.67-4.11, 4 Mg 3.75
3 Mg 0.7082 0.0000 0.4148  2 Te 2.97
4 Te 0.5726 0.5000 0.1462  2 Mg 2.97

relative energy among the computed polymorphs	0.0	meV per atom
raw formation energy	-0.534	eV/atom

Record 2
KMg3Te | PBE | optimized geometry

Unit cell a=6.1027 b=6.1027 c=6.1027 alpha=90.00 beta=90.00 gamma=90.00
With the nearest neighbours (Å) after each atom.
Sites, in units of the cell vectors:
1 K 0.0000 0.0000 0.0000  6 Mg 3.05
2 Mg 0.0000 0.0000 0.5000  2 K 3.05
3 Mg 0.0000 0.5000 0.0000  2 K 3.05
4 Mg 0.5000 0.0000 0.0000  2 K 3.05
5 Te 0.5000 0.5000 0.5000  12 Mg 4.32

relative energy among the computed polymorphs	684.2	meV per atom
raw formation energy	0.898	eV/atom
DOS at the Fermi energy	7.28	states/eV/f.u.